1.
Material: Er5Th4Sc2
Method: DFT, GGA-PBE
State: relaxed

Cell lengths 22.925, 3.529, 8.494 Å; angles 90.00, 105.40, 90.00 degrees
Space group C2/m (No. 12)
One atom of each set of equivalent atoms:
Er1 0.000 0.000 0.000 x2
Er2 0.136 0.500 0.085 x4
Er3 0.225 0.500 0.810 x4
Th1 0.044 0.500 0.365 x4
Th2 0.181 0.000 0.447 x4
Sc1 0.089 0.000 0.715 x4

Summary:
E (eV per cell): -129.74
Calculated formation energy (eV per atom): 0.0261
Energy above the lowest structure with this stoichiometry (meV/atom): 0

2.
Material: RbSn2Bi2
Method: DFT, GGA-PBE
State: relaxed

Cell lengths 9.339, 9.339, 4.052 Å; angles 90.00, 90.00, 90.00 degrees
Space group P4/mbm (No. 127)
One atom of each set of equivalent atoms:
Rb1 0.000 0.000 0.000 x2
Sn1 0.144 0.356 0.500 x4
Bi1 0.130 0.630 0.000 x4

Summary:
E (eV per cell): -34.09
Calculated formation energy (eV per atom): -0.0618
Energy above the lowest structure with this stoichiometry (meV/atom): 79

3.
Material: InSn3Pb3
Method: DFT, GGA-PBE
State: relaxed

Cell lengths 8.377, 8.377, 8.377 Å; angles 90.00, 90.00, 90.00 degrees
Space group Pm-3n (No. 223)
One atom of each set of equivalent atoms:
In1 0.000 0.000 0.000 x2
Sn1 0.000 0.250 0.500 x6
Pb1 0.000 0.500 0.250 x6

Summary:
E (eV per cell): -46.65
Calculated formation energy (eV per atom): 0.3636
Energy above the lowest structure with this stoichiometry (meV/atom): 327

4.
Material: CuRuSe2
Method: DFT, GGA-PBE
State: relaxed

Cell lengths 7.469, 3.280, 6.959 Å; angles 90.00, 112.96, 90.00 degrees
Space group Cm (No. 8)
One atom of each set of equivalent atoms:
Cu1 0.000 0.000 0.000 x2
Ru1 0.307 0.500 0.230 x2
Se1 0.064 0.500 0.404 x2
Se2 0.245 0.000 0.886 x2

Summary:
E (eV per cell): -40.22
Raw formation energy (eV/atom): 0.058